{"formula": "AlCoN2O", "functional": "PBE+U", "state": "relaxed", "cell": [[3.7797, 0.0000, 0.0000], [0.0000, 3.7797, 0.0000], [0.0000, 0.0000, 3.6433]], "species": ["Al", "Co", "N", "N", "O"], "frac_coords": [[0.0000, 0.0000, 0.0000], [0.5000, 0.5000, 0.5000], [0.0000, 0.5000, 0.0000], [0.5000, 0.0000, 0.0000], [0.0000, 0.0000, 0.5000]], "space_group": "P4/mmm (123)", "volume_a3_per_cell": 52.0, "dft_energy_ry_per_atom": -0.4167}